# 1
Density functional theory data (PBE) for an optimized crystal structure of Zn4GaTc.

Summary:
Symmetry: Cmc2_1, No. 36
Distance to the lowest polymorph of the same formula (meV per atom): 0
Final energy (eV/atom): -3.075
Energy of formation from the pure elements (eV/f.u.): 0.040

```
Zn4GaTc
1.0
1.835 -5.748 0.000
1.835 5.748 0.000
0.000 0.000 8.312
Zn Ga Tc
8 2 2
Cartesian
1.835 5.732 4.156
1.835 3.839 2.134
1.835 1.938 0.085
1.835 0.062 6.160
1.835 -0.062 2.004
1.835 -1.938 4.241
1.835 -3.839 6.290
1.835 -5.732 0.000
1.835 1.967 4.092
1.835 -1.967 8.248
1.835 3.865 6.281
1.835 -3.865 2.125
```

---

# 2
Density functional theory data (PBE) for an optimized crystal structure of ZnGa2Tc.

Summary:
Symmetry: R3m, No. 160
Final energy (eV/atom): -4.379
Energy of formation from the pure elements (eV/f.u.): 0.178

```
ZnGa2Tc
1.0
1.466 0.846 8.451
-1.466 0.846 8.451
0.000 -1.693 8.451
Zn Ga Tc
1 2 1
Cartesian
0.000 0.000 0.000
0.000 0.000 14.673
0.000 0.000 19.093
0.000 0.000 4.202
```

---

# 3
Density functional theory data (PBE) for an optimized crystal structure of Zn2Ga5Tc.

Summary:
Symmetry: P1, No. 1
Final energy (eV/atom): -3.503
Energy of formation from the pure elements (eV/f.u.): 0.021

```
Zn2Ga5Tc
1.0
5.497 0.000 0.000
-1.342 5.346 0.000
-1.535 -3.094 4.301
Zn Ga Tc
2 5 1
Cartesian
0.000 0.000 0.000
0.017 3.522 1.875
1.312 0.999 2.231
1.420 5.220 0.074
2.824 3.422 1.838
2.625 -0.714 4.151
4.030 0.814 2.304
-0.145 -0.756 4.008
```

---

Q: Among the records above, which one has the lowest final energy?
A: ZnGa2Tc

---

Q: Look up the energy of formation from the pure elements of the third one.
A: 0.021 eV/f.u.

---

Q: Among the records above, which one has the lowest energy of formation from the pure elements?
A: Zn2Ga5Tc